Entry from OQMD via LeMat-Bulk: Nd2H2I3Br after structural relaxation (PBE).

## Properties
For the calculated total energy, the calculation gives -4.1246 eV per atom. Its space group is P3m1, No. 156.

```
data_Nd2H2I3Br
_chemical_formula_sum 'Nd2 H2 I3 Br1'
_space_group_name_H-M_alt 'P 1'
_space_group_IT_number 1
_space_group_name_Hall 'P 1'
_cell_length_a 4.1039
_cell_length_b 4.1039
_cell_length_c 15.8328
_cell_angle_alpha 90.00
_cell_angle_beta 90.00
_cell_angle_gamma 120.00
loop_
_atom_site_label
_atom_site_fract_x
_atom_site_fract_y
_atom_site_fract_z
Br1 0.0000 0.0000 0.1240
H1 0.6667 0.3333 0.2482
H2 0.0000 0.0000 0.7500
I1 0.0000 0.0000 0.3822
I2 0.6667 0.3333 0.6129
I3 0.6667 0.3333 0.8878
Nd1 0.3333 0.6667 0.2445
Nd2 0.3333 0.6667 0.7504
```